#one
Crystalline BAsP2 at its relaxed geometry, computed with GGA-PBE.

CIF file:
```
data_BAsP2
_chemical_formula_sum 'B1 As1 P2'
_cell_length_a 3.3507
_cell_length_b 4.3378
_cell_length_c 4.8564
_cell_angle_alpha 74.45
_cell_angle_beta 78.38
_cell_angle_gamma 76.05
_space_group_name_H-M_alt 'P 1'
_space_group_IT_number 1
loop_
_space_group_symop_operation_xyz
'x,y,z'
loop_
_atom_site_label
_atom_site_type_symbol
_atom_site_fract_x
_atom_site_fract_y
_atom_site_fract_z
B1 B 0.0000 0.0000 0.0000
As1 As 0.0676 0.3918 0.6189
P1 P 0.5815 0.7514 0.9841
P2 P 0.7181 0.2736 0.2913
```

The density of states at the Fermi level is 0.198 states/eV per atom.

#two
Crystalline BAsP2 at its relaxed geometry, computed with GGA-PBE.

CIF file:
```
data_BAsP2
_chemical_formula_sum 'B1 As1 P2'
_cell_length_a 5.5581
_cell_length_b 3.2987
_cell_length_c 5.6453
_cell_angle_alpha 90.00
_cell_angle_beta 110.64
_cell_angle_gamma 90.00
_space_group_name_H-M_alt 'P 1 m 1'
_space_group_IT_number 6
loop_
_space_group_symop_operation_xyz
'x,y,z'
'x,-y,z'
loop_
_atom_site_label
_atom_site_type_symbol
_atom_site_fract_x
_atom_site_fract_y
_atom_site_fract_z
B1 B 0.0000 0.0000 0.0000
As1 As 0.8228 0.5000 0.3895
P1 P 0.1165 0.0000 0.3665
P2 P 0.9615 0.5000 0.8337
```

#three
Crystalline BAsP2 at its relaxed geometry, computed with GGA-PBE.

CIF file:
```
data_BAsP2
_chemical_formula_sum 'B2 As2 P4'
_cell_length_a 13.9662
_cell_length_b 3.3423
_cell_length_c 3.0324
_cell_angle_alpha 90.00
_cell_angle_beta 102.12
_cell_angle_gamma 90.00
_space_group_name_H-M_alt 'C 1 m 1'
_space_group_IT_number 8
loop_
_space_group_symop_operation_xyz
'x,y,z'
'x,-y,z'
'x+1/2,y+1/2,z'
'x+1/2,-y+1/2,z'
loop_
_atom_site_label
_atom_site_type_symbol
_atom_site_fract_x
_atom_site_fract_y
_atom_site_fract_z
B1 B 0.0000 0.0000 0.0000
As1 As 0.2954 0.0000 0.3029
P1 P 0.0809 0.5000 0.0777
P2 P 0.4145 0.5000 0.4176
```

The density of states at the Fermi level is 0.259 states/eV per atom.

Most stable: #three

#one
Crystalline B2AsP at its relaxed geometry, computed with GGA-PBE.

CIF file:
```
data_B2AsP
_chemical_formula_sum 'B8 As4 P4'
_cell_length_a 4.6815
_cell_length_b 4.6815
_cell_length_c 9.3454
_cell_angle_alpha 90.00
_cell_angle_beta 90.00
_cell_angle_gamma 90.00
_space_group_name_H-M_alt 'I -4 2 d'
_space_group_IT_number 122
_space_group_name_Hall 'I -4 2bw'
loop_
_atom_site_label
_atom_site_type_symbol
_atom_site_fract_x
_atom_site_fract_y
_atom_site_fract_z
B1 B 0.2299 0.2500 0.1250
As1 As 0.0000 0.0000 0.5000
P1 P 0.0000 0.0000 0.0000
```

The density of states at the Fermi level is 0.000 states/eV per atom.

#two
Crystalline B2AsP at its relaxed geometry, computed with GGA-PBE.

CIF file:
```
data_B2AsP
_chemical_formula_sum 'B2 As1 P1'
_cell_length_a 3.3081
_cell_length_b 3.3081
_cell_length_c 4.6844
_cell_angle_alpha 90.00
_cell_angle_beta 90.00
_cell_angle_gamma 90.00
_space_group_name_H-M_alt 'P -4 m 2'
_space_group_IT_number 115
loop_
_space_group_symop_operation_xyz
'x,y,z'
'y,-x,-z'
'-x,-y,z'
'-y,x,-z'
'-x,y,z'
'-y,-x,-z'
'x,-y,z'
'y,x,-z'
loop_
_atom_site_label
_atom_site_type_symbol
_atom_site_fract_x
_atom_site_fract_y
_atom_site_fract_z
B1 B 0.0000 0.5000 0.2363
As1 As 0.5000 0.5000 0.5000
P1 P 0.0000 0.0000 0.0000
```

Most stable: #one

#one
Crystalline BAs3P at its relaxed geometry, computed with GGA-PBE.

CIF file:
```
data_BAs3P
_chemical_formula_sum 'B1 As3 P1'
_cell_length_a 4.3793
_cell_length_b 4.3793
_cell_length_c 4.3793
_cell_angle_alpha 90.00
_cell_angle_beta 90.00
_cell_angle_gamma 90.00
_space_group_name_H-M_alt 'P m -3 m'
_space_group_IT_number 221
_space_group_name_Hall '-P 4 2 3'
loop_
_atom_site_label
_atom_site_type_symbol
_atom_site_fract_x
_atom_site_fract_y
_atom_site_fract_z
B1 B 0.0000 0.0000 0.0000
As1 As 0.0000 0.0000 0.5000
P1 P 0.5000 0.5000 0.5000
```

The density of states at the Fermi level is 0.643 states/eV per atom.

#two
Crystalline BAs3P at its relaxed geometry, computed with GGA-PBE.

CIF file:
```
data_BAs3P
_chemical_formula_sum 'B1 As3 P1'
_cell_length_a 4.7326
_cell_length_b 4.7326
_cell_length_c 4.7326
_cell_angle_alpha 90.00
_cell_angle_beta 90.00
_cell_angle_gamma 90.00
_space_group_name_H-M_alt 'P m -3 m'
_space_group_IT_number 221
_space_group_name_Hall '-P 4 2 3'
loop_
_atom_site_label
_atom_site_type_symbol
_atom_site_fract_x
_atom_site_fract_y
_atom_site_fract_z
B1 B 0.0000 0.0000 0.0000
As1 As 0.0000 0.5000 0.5000
P1 P 0.5000 0.5000 0.5000
```

The density of states at the Fermi level is 0.909 states/eV per atom.

Most stable: #one

#one
Crystalline BAs2P at its relaxed geometry, computed with GGA-PBE.

CIF file:
```
data_BAs2P
_chemical_formula_sum 'B4 As8 P4'
_cell_length_a 6.1992
_cell_length_b 6.1992
_cell_length_c 6.1992
_cell_angle_alpha 90.00
_cell_angle_beta 90.00
_cell_angle_gamma 90.00
_space_group_name_H-M_alt 'F m -3 m'
_space_group_IT_number 225
_space_group_name_Hall '-F 4 2 3'
loop_
_atom_site_label
_atom_site_type_symbol
_atom_site_fract_x
_atom_site_fract_y
_atom_site_fract_z
B1 B 0.0000 0.0000 0.0000
As1 As 0.2500 0.2500 0.2500
P1 P 0.0000 0.0000 0.5000
```

The density of states at the Fermi level is 0.408 states/eV per atom.

#two
Crystalline BAs2P at its relaxed geometry, computed with GGA-PBE.

CIF file:
```
data_BAs2P
_chemical_formula_sum 'B4 As8 P4'
_cell_length_a 5.6967
_cell_length_b 5.6967
_cell_length_c 8.4826
_cell_angle_alpha 90.00
_cell_angle_beta 90.00
_cell_angle_gamma 90.00
_space_group_name_H-M_alt 'I -4 2 d'
_space_group_IT_number 122
_space_group_name_Hall 'I -4 2bw'
loop_
_atom_site_label
_atom_site_type_symbol
_atom_site_fract_x
_atom_site_fract_y
_atom_site_fract_z
B1 B 0.0000 0.0000 0.0000
As1 As 0.1924 0.2500 0.1250
P1 P 0.0000 0.0000 0.5000
```

The density of states at the Fermi level is 0.427 states/eV per atom.

Most stable: #two

#one
Crystalline BAsP3 at its relaxed geometry, computed with GGA-PBE.

CIF file:
```
data_BAsP3
_chemical_formula_sum 'B1 As1 P3'
_cell_length_a 4.1570
_cell_length_b 4.1570
_cell_length_c 4.1570
_cell_angle_alpha 90.00
_cell_angle_beta 90.00
_cell_angle_gamma 90.00
_space_group_name_H-M_alt 'P m -3 m'
_space_group_IT_number 221
_space_group_name_Hall '-P 4 2 3'
loop_
_atom_site_label
_atom_site_type_symbol
_atom_site_fract_x
_atom_site_fract_y
_atom_site_fract_z
B1 B 0.0000 0.0000 0.0000
As1 As 0.5000 0.5000 0.5000
P1 P 0.0000 0.0000 0.5000
```

The density of states at the Fermi level is 0.612 states/eV per atom.

#two
Crystalline BAsP3 at its relaxed geometry, computed with GGA-PBE.

CIF file:
```
data_BAsP3
_chemical_formula_sum 'B1 As1 P3'
_cell_length_a 4.7087
_cell_length_b 4.7087
_cell_length_c 4.7087
_cell_angle_alpha 90.00
_cell_angle_beta 90.00
_cell_angle_gamma 90.00
_space_group_name_H-M_alt 'P m -3 m'
_space_group_IT_number 221
_space_group_name_Hall '-P 4 2 3'
loop_
_atom_site_label
_atom_site_type_symbol
_atom_site_fract_x
_atom_site_fract_y
_atom_site_fract_z
B1 B 0.0000 0.0000 0.0000
As1 As 0.5000 0.5000 0.5000
P1 P 0.0000 0.5000 0.5000
```

The density of states at the Fermi level is 1.141 states/eV per atom.

Most stable: #one

#one
Crystalline B3AsP at its relaxed geometry, computed with GGA-PBE.

CIF file:
```
data_B3AsP
_chemical_formula_sum 'B3 As1 P1'
_cell_length_a 4.1016
_cell_length_b 4.1016
_cell_length_c 4.1016
_cell_angle_alpha 90.00
_cell_angle_beta 90.00
_cell_angle_gamma 90.00
_space_group_name_H-M_alt 'P m -3 m'
_space_group_IT_number 221
_space_group_name_Hall '-P 4 2 3'
loop_
_atom_site_label
_atom_site_type_symbol
_atom_site_fract_x
_atom_site_fract_y
_atom_site_fract_z
B1 B 0.0000 0.0000 0.5000
As1 As 0.0000 0.0000 0.0000
P1 P 0.5000 0.5000 0.5000
```

The density of states at the Fermi level is 0.377 states/eV per atom.

#two
Crystalline B3AsP at its relaxed geometry, computed with GGA-PBE.

CIF file:
```
data_B3AsP
_chemical_formula_sum 'B3 As1 P1'
_cell_length_a 3.9223
_cell_length_b 3.9223
_cell_length_c 3.9223
_cell_angle_alpha 90.00
_cell_angle_beta 90.00
_cell_angle_gamma 90.00
_space_group_name_H-M_alt 'P m -3 m'
_space_group_IT_number 221
_space_group_name_Hall '-P 4 2 3'
loop_
_atom_site_label
_atom_site_type_symbol
_atom_site_fract_x
_atom_site_fract_y
_atom_site_fract_z
B1 B 0.0000 0.0000 0.5000
As1 As 0.5000 0.5000 0.5000
P1 P 0.0000 0.0000 0.0000
```

The density of states at the Fermi level is 0.389 states/eV per atom.

Most stable: #two

#one
Crystalline BAsPSe2 at its relaxed geometry, computed with GGA-PBE.

CIF file:
```
data_BAsPSe2
_chemical_formula_sum 'B1 As1 P1 Se2'
_cell_length_a 4.9143
_cell_length_b 4.9143
_cell_length_c 4.6562
_cell_angle_alpha 90.00
_cell_angle_beta 90.00
_cell_angle_gamma 90.00
_space_group_name_H-M_alt 'P 4/m m m'
_space_group_IT_number 123
_space_group_name_Hall '-P 4 2'
loop_
_atom_site_label
_atom_site_type_symbol
_atom_site_fract_x
_atom_site_fract_y
_atom_site_fract_z
B1 B 0.0000 0.0000 0.0000
As1 As 0.5000 0.5000 0.0000
P1 P 0.5000 0.5000 0.5000
Se1 Se 0.0000 0.5000 0.5000
```

The density of states at the Fermi level is 0.866 states/eV per atom.

#two
Crystalline BAsPSe2 at its relaxed geometry, computed with GGA-PBE.

CIF file:
```
data_BAsPSe2
_chemical_formula_sum 'B1 As1 P1 Se2'
_cell_length_a 4.3856
_cell_length_b 4.3856
_cell_length_c 4.4514
_cell_angle_alpha 90.00
_cell_angle_beta 90.00
_cell_angle_gamma 90.00
_space_group_name_H-M_alt 'P 4/m m m'
_space_group_IT_number 123
_space_group_name_Hall '-P 4 2'
loop_
_atom_site_label
_atom_site_type_symbol
_atom_site_fract_x
_atom_site_fract_y
_atom_site_fract_z
B1 B 0.0000 0.0000 0.0000
As1 As 0.0000 0.0000 0.5000
P1 P 0.5000 0.5000 0.5000
Se1 Se 0.0000 0.5000 0.0000
```

The density of states at the Fermi level is 0.720 states/eV per atom.

Most stable: #two

#one
Crystalline B2AsPb2 at its relaxed geometry, computed with GGA-PBE.

CIF file:
```
data_B2AsPb2
_chemical_formula_sum 'B4 As2 Pb4'
_cell_length_a 3.0238
_cell_length_b 3.0238
_cell_length_c 20.8997
_cell_angle_alpha 90.00
_cell_angle_beta 90.00
_cell_angle_gamma 90.00
_space_group_name_H-M_alt 'I 4/m m m'
_space_group_IT_number 139
_space_group_name_Hall '-I 4 2'
loop_
_atom_site_label
_atom_site_type_symbol
_atom_site_fract_x
_atom_site_fract_y
_atom_site_fract_z
B1 B 0.0000 0.5000 0.2500
As1 As 0.0000 0.0000 0.0000
Pb1 Pb 0.0000 0.0000 0.3624
```

The density of states at the Fermi level is 0.529 states/eV per atom.

#two
Crystalline B2AsPb2 at its relaxed geometry, computed with GGA-PBE.

CIF file:
```
data_B2AsPb2
_chemical_formula_sum 'B4 As2 Pb4'
_cell_length_a 8.1423
_cell_length_b 8.1423
_cell_length_c 3.2713
_cell_angle_alpha 90.00
_cell_angle_beta 90.00
_cell_angle_gamma 90.00
_space_group_name_H-M_alt 'P 4/m b m'
_space_group_IT_number 127
_space_group_name_Hall '-P 4 2ab'
loop_
_atom_site_label
_atom_site_type_symbol
_atom_site_fract_x
_atom_site_fract_y
_atom_site_fract_z
B1 B 0.0683 0.4317 0.0000
As1 As 0.0000 0.0000 0.5000
Pb1 Pb 0.2398 0.2602 0.5000
```

The density of states at the Fermi level is 0.402 states/eV per atom.

Most stable: #one